VASP calculation (PBE-GGA) on a relaxed structure of CeB2Ir3.

a b c (Å): 5.608 5.608 5.513
angles (deg): 90.00 90.00 88.29
Element x y z (fractional)
Ce 0.147 0.853 0.750
Ce 0.853 0.147 0.250
B 0.286 0.286 0.000
B 0.286 0.286 0.500
B 0.714 0.714 0.000
B 0.714 0.714 0.500
Ir 0.018 0.377 0.750
Ir 0.377 0.018 0.250
Ir 0.468 0.532 0.250
Ir 0.532 0.468 0.750
Ir 0.623 0.982 0.750
Ir 0.982 0.623 0.250

Summary:
ρ ... 14.2 g/cm3
Formation energy ... -0.455 eV/atom
Energy above the most stable polymorph in this dataset ... 209 meV per atom
Uncorrected energy ... -97.2 eV/cell

***

VASP calculation (PBE-GGA) on a relaxed structure of CeBIr4.

a b c (Å): 9.474 9.474 9.474
angles (deg): 149.39 149.39 43.84
Element x y z (fractional)
Ce 0.375 0.625 0.750
Ce 0.625 0.375 0.250
B 0.125 0.875 0.250
B 0.875 0.125 0.750
Ir 0.221 0.222 0.999
Ir 0.222 0.221 0.499
Ir 0.222 0.723 0.001
Ir 0.277 0.778 0.499
Ir 0.723 0.222 0.501
Ir 0.778 0.277 0.999
Ir 0.778 0.779 0.501
Ir 0.779 0.778 0.001

Summary:
ρ ... 13.9 g/cm3
Formation energy ... 0.113 eV/atom
Uncorrected energy ... -94.8 eV/cell

***

VASP calculation (PBE-GGA) on a relaxed structure of CeB2Ir3.

a b c (Å): 5.538 5.538 3.114
angles (deg): 90.00 90.00 120.00
Element x y z (fractional)
Ce 0.000 0.000 0.000
B 0.333 0.667 0.000
B 0.667 0.333 0.000
Ir 0.000 0.500 0.500
Ir 0.500 0.000 0.500
Ir 0.500 0.500 0.500

Summary:
ρ ... 14.8 g/cm3
Formation energy ... -0.663 eV/atom
Energy above the most stable polymorph in this dataset ... 0 meV per atom
Uncorrected energy ... -49.9 eV/cell

***

VASP calculation (PBE-GGA) on a relaxed structure of CeB2Ir5.

a b c (Å): 5.896 5.896 5.896
angles (deg): 140.99 113.68 79.71
Element x y z (fractional)
Ce 0.000 0.000 0.000
B 0.261 0.761 0.500
B 0.739 0.239 0.500
Ir 0.140 0.350 0.791
Ir 0.441 0.650 0.791
Ir 0.500 0.000 0.500
Ir 0.559 0.350 0.209
Ir 0.860 0.650 0.209

Summary:
ρ ... 16.2 g/cm3
Formation energy ... -0.416 eV/atom
Uncorrected energy ... -66.9 eV/cell

***

VASP calculation (PBE-GGA) on a relaxed structure of CeB3Ir6.

a b c (Å): 6.163 6.163 6.163
angles (deg): 52.94 52.94 52.94
Element x y z (fractional)
Ce 0.000 0.000 0.000
B 0.300 0.300 0.300
B 0.634 0.634 0.634
B 0.830 0.830 0.830
Ir 0.064 0.564 0.563
Ir 0.315 0.443 0.876
Ir 0.443 0.876 0.315
Ir 0.563 0.064 0.564
Ir 0.564 0.563 0.064
Ir 0.876 0.315 0.443

Summary:
ρ ... 15.9 g/cm3
Formation energy ... -0.338 eV/atom
Uncorrected energy ... -82.5 eV/cell

***

VASP calculation (PBE-GGA) on a relaxed structure of CeB2Ir3.

a b c (Å): 8.984 8.984 3.612
angles (deg): 90.00 90.00 120.00
Element x y z (fractional)
Ce 0.000 0.000 0.000
Ce 0.333 0.667 0.500
Ce 0.667 0.333 0.500
B 0.189 0.377 0.000
B 0.189 0.811 0.000
B 0.377 0.189 0.000
B 0.623 0.811 0.000
B 0.811 0.189 0.000
B 0.811 0.623 0.000
Ir 0.000 0.283 0.500
Ir 0.000 0.500 0.000
Ir 0.000 0.717 0.500
Ir 0.283 0.000 0.500
Ir 0.283 0.283 0.500
Ir 0.500 0.000 0.000
Ir 0.500 0.500 0.000
Ir 0.717 0.000 0.500
Ir 0.717 0.717 0.500

Summary:
ρ ... 14.6 g/cm3
Formation energy ... -0.346 eV/atom
Energy above the most stable polymorph in this dataset ... 317 meV per atom
Uncorrected energy ... -143.8 eV/cell